A plane-wave DFT calculation with PBE-GGA was carried out for a geometry-optimized Lu3Tc structure.

formation energy: -0.0502 eV/atom
M_tot: 0.0 Bohr magnetons per cell
density of states at the Fermi level: 4.91 states/eV per cell
space-group type: Imm2, No. 44

Structure (extended XYZ):
```
4
Lattice="-1.763 5.270 2.599 1.763 -5.270 2.599 1.763 5.270 -2.599" Properties=species:S:1:pos:R:3 pbc="T T T"
Lu 0.000 0.000 5.196
Lu 1.763 3.148 0.000
Lu 0.000 2.123 2.599
Tc 1.763 0.000 2.584
```


A plane-wave DFT calculation with PBE-GGA was carried out for a geometry-optimized Sr2EuSn structure.

formation energy: -0.2937 eV/atom
ΔE to the lowest computed polymorph: 66 meV per atom
M_tot: 8.2 Bohr magnetons per cell
density of states at the Fermi level: 10.63 states/eV per cell
space-group type: P4/mmm, No. 123

Structure (extended XYZ):
```
4
Lattice="3.944 0.000 0.000 0.000 3.944 0.000 0.000 0.000 10.643" Properties=species:S:1:pos:R:3 pbc="T T T"
Sr 0.000 0.000 2.082
Sr 0.000 0.000 8.560
Eu 1.972 1.972 5.321
Sn 1.972 1.972 0.000
```


A plane-wave DFT calculation with PBE-GGA was carried out for a geometry-optimized NbIrRh3 structure.

formation energy: 1.4785 eV/atom
ΔE to the lowest computed polymorph: 691 meV per atom
M_tot: 0.0 Bohr magnetons per cell
density of states at the Fermi level: 9.74 states/eV per cell
space-group type: Pm-3m, No. 221

Structure (extended XYZ):
```
5
Lattice="4.667 0.000 0.000 0.000 4.667 0.000 0.000 0.000 4.667" Properties=species:S:1:pos:R:3 pbc="T T T"
Nb 0.000 0.000 0.000
Ir 2.333 2.333 2.333
Rh 0.000 2.333 2.333
Rh 2.333 0.000 2.333
Rh 2.333 2.333 0.000
```


A plane-wave DFT calculation with PBE-GGA was carried out for a geometry-optimized Li2SbMo structure.

M_tot: 0.0 Bohr magnetons per cell
density of states at the Fermi level: 2.46 states/eV per cell
space-group type: Pmmm, No. 47
uncorrected formation energy: 96 meV per atom

Structure (extended XYZ):
```
4
Lattice="3.239 0.000 0.000 0.000 4.413 0.000 0.000 0.000 4.768" Properties=species:S:1:pos:R:3 pbc="T T T"
Li 0.000 0.000 0.000
Li 1.620 2.207 0.000
Sb 0.000 2.207 2.384
Mo 1.620 0.000 2.384
```


A plane-wave DFT calculation with PBE-GGA was carried out for a geometry-optimized Sm3HgPd5 structure.

formation energy: -0.7220 eV/atom
M_tot: 0.0 Bohr magnetons per cell
density of states at the Fermi level: 10.53 states/eV per cell
space-group type: P6_3/mcm, No. 193

Structure (extended XYZ):
```
18
Lattice="8.630 0.000 0.000 -4.315 7.474 0.000 0.000 0.000 5.886" Properties=species:S:1:pos:R:3 pbc="T T T"
Sm -1.535 2.659 1.471
Sm -2.780 4.815 4.414
Sm 3.071 0.000 1.471
Sm 1.535 2.659 4.414
Sm 5.560 0.000 4.414
Sm 2.780 4.815 1.471
Hg 0.000 0.000 0.000
Hg 0.000 0.000 2.943
Pd -1.365 2.365 4.414
Pd -2.950 5.110 1.471
Pd 2.730 0.000 4.414
Pd 1.365 2.365 1.471
Pd 0.000 4.983 0.000
Pd 0.000 4.983 2.943
Pd 4.315 2.491 0.000
Pd 4.315 2.491 2.943
Pd 5.900 0.000 1.471
Pd 2.950 5.110 4.414
```


A plane-wave DFT calculation with PBE-GGA was carried out for a geometry-optimized FeSi2Ru structure.

M_tot: 0.6 Bohr magnetons per cell
density of states at the Fermi level: 2.87 states/eV per cell
space-group type: Imm2, No. 44
uncorrected formation energy: -365 meV per atom

Structure (extended XYZ):
```
4
Lattice="-1.452 1.726 5.153 1.452 -1.726 5.153 1.452 1.726 -5.153" Properties=species:S:1:pos:R:3 pbc="T T T"
Fe 0.000 0.000 0.000
Si 1.452 0.000 1.781
Si 0.000 0.000 4.437
Ru 0.000 1.726 2.679
```


A plane-wave DFT calculation with PBE-GGA was carried out for a geometry-optimized ZnCd2Ag structure.

formation energy: 0.0155 eV/atom
M_tot: 0.0 Bohr magnetons per cell
density of states at the Fermi level: 0.74 states/eV per cell
space-group type: Pmm2, No. 25

Structure (extended XYZ):
```
4
Lattice="3.182 0.000 0.000 0.000 3.600 0.000 0.000 0.000 6.663" Properties=species:S:1:pos:R:3 pbc="T T T"
Zn 0.000 0.000 0.000
Cd 0.000 0.000 3.095
Cd 1.591 1.800 4.994
Ag 1.591 1.800 1.354
```


A plane-wave DFT calculation with PBE-GGA was carried out for a geometry-optimized CsSrCa2Au structure.

formation energy: -0.2392 eV/atom
M_tot: 0.0 Bohr magnetons per cell
density of states at the Fermi level: 3.89 states/eV per cell
space-group type: P4/mmm, No. 123

Structure (extended XYZ):
```
5
Lattice="6.040 0.000 0.000 0.000 6.040 0.000 0.000 0.000 6.295" Properties=species:S:1:pos:R:3 pbc="T T T"
Cs 0.000 0.000 0.000
Sr 3.020 3.020 0.000
Ca 0.000 3.020 3.148
Ca 3.020 0.000 3.148
Au 3.020 3.020 3.148
```


A plane-wave DFT calculation with PBE-GGA was carried out for a geometry-optimized LaNd12Y5 structure.

formation energy: 0.0172 eV/atom
M_tot: 0.0 Bohr magnetons per cell
density of states at the Fermi level: 28.74 states/eV per cell
space-group type: Cmmm, No. 65

Structure (extended XYZ):
```
18
Lattice="7.745 -7.762 0.000 7.745 7.762 0.000 0.000 0.000 5.176" Properties=species:S:1:pos:R:3 pbc="T T T"
La 0.000 0.000 0.000
Nd 10.332 -5.165 0.000
Nd 5.158 5.165 0.000
Nd 2.601 0.000 2.588
Nd 5.182 2.582 2.588
Nd 10.332 5.165 0.000
Nd 5.186 0.000 0.000
Nd 10.308 2.582 2.588
Nd 5.182 -2.582 2.588
Nd 10.304 0.000 0.000
Nd 5.158 -5.165 0.000
Nd 10.308 -2.582 2.588
Nd 12.889 0.000 2.588
Y 7.745 5.153 2.588
Y 7.745 2.591 0.000
Y 7.745 0.000 2.588
Y 7.745 -2.591 0.000
Y 7.745 -5.153 2.588
```


A plane-wave DFT calculation with PBE-GGA was carried out for a geometry-optimized Tl2AgAsO4 structure.

M_tot: 0.0 Bohr magnetons per cell
density of states at the Fermi level: 0.00 states/eV per cell
space-group type: Fddd, No. 70
uncorrected formation energy: -780 meV per atom

Structure (extended XYZ):
```
16
Lattice="0.000 5.562 10.216 2.992 0.000 10.216 2.992 5.562 0.000" Properties=species:S:1:pos:R:3 pbc="T T T"
Tl 2.244 4.171 1.294
Tl 3.740 6.952 6.402
Tl 2.244 4.171 14.030
Tl 3.740 6.952 19.138
Ag 0.748 1.390 2.554
Ag 5.236 9.733 17.877
As 2.244 4.171 7.662
As 3.740 6.952 12.770
O 3.305 3.108 6.784
O 3.305 5.235 8.540
O 4.801 5.889 13.648
O 1.184 3.108 8.540
O 4.801 8.016 11.892
O 1.184 5.235 6.784
O 2.680 5.889 11.892
O 2.680 8.016 13.648
```


A plane-wave DFT calculation with PBE-GGA was carried out for a geometry-optimized Sr3LaHg structure.

formation energy: 0.0594 eV/atom
ΔE to the lowest computed polymorph: 0 meV per atom
M_tot: 0.0 Bohr magnetons per cell
density of states at the Fermi level: 7.62 states/eV per cell
space-group type: Pm-3m, No. 221

Structure (extended XYZ):
```
5
Lattice="6.223 0.000 0.000 0.000 6.223 0.000 0.000 0.000 6.223" Properties=species:S:1:pos:R:3 pbc="T T T"
Sr 0.000 0.000 3.112
Sr 0.000 3.112 0.000
Sr 3.112 0.000 0.000
La 3.112 3.112 3.112
Hg 0.000 0.000 0.000
```


A plane-wave DFT calculation with PBE-GGA was carried out for a geometry-optimized Te2Ru3 structure.

M_tot: 0.0 Bohr magnetons per cell
density of states at the Fermi level: 9.95 states/eV per cell
space-group type: Fdd2, No. 43
uncorrected formation energy: 271 meV per atom

Structure (extended XYZ):
```
10
Lattice="0.000 6.660 3.267 4.107 0.000 3.267 4.107 6.660 0.000" Properties=species:S:1:pos:R:3 pbc="T T T"
Te 4.589 2.775 3.267
Te 5.678 6.105 4.900
Te 3.624 10.544 3.267
Te 2.536 7.214 4.900
Ru 4.107 6.660 0.525
Ru 2.053 3.330 2.159
Ru 3.945 5.351 2.915
Ru 4.268 7.969 2.915
Ru 6.321 8.681 4.548
Ru 5.999 11.299 4.548
```